Record 1
! Ag2SnAsS4 (PBE, relaxed); values from VASP
! Mass density, g cm⁻³: 5.23
&SYSTEM
  ibrav = 0, nat = 8, ntyp = 4
/
ATOMIC_SPECIES
Ag 107.87 Ag.upf
Sn 118.71 Sn.upf
As 74.92 As.upf
S 32.06 S.upf
CELL_PARAMETERS angstrom
6.641 -0.015 -1.137
0.075 4.027 -0.129
-4.712 -1.972 7.241
ATOMIC_POSITIONS angstrom
Ag -1.238 1.631 6.389
Ag -0.570 -0.300 2.927
Sn 1.926 -0.534 5.768
As 2.876 1.772 2.383
S 0.591 1.313 4.544
S 4.621 1.788 0.824
S 1.568 3.260 1.078
S -2.804 -0.745 5.102

=====

Record 2
! AgSnAsS4 (PBE, relaxed); values from VASP
! Mass density, g cm⁻³: 4.49
&SYSTEM
  ibrav = 0, nat = 14, ntyp = 4
/
ATOMIC_SPECIES
Ag 107.87 Ag.upf
Sn 118.71 Sn.upf
As 74.92 As.upf
S 32.06 S.upf
CELL_PARAMETERS angstrom
7.642 0.000 0.000
3.821 6.618 0.040
3.821 2.055 6.292
ATOMIC_POSITIONS angstrom
Ag 7.642 4.315 0.755
Ag 7.642 4.358 5.577
Sn 0.000 0.000 0.000
Sn 3.821 4.336 3.166
As 5.732 1.027 3.146
As 1.911 1.027 3.146
S 11.463 6.501 4.550
S 7.642 6.695 4.691
S 7.642 1.978 1.640
S 3.821 2.172 1.782
S 5.592 5.526 1.638
S 9.693 5.526 1.638
S 5.592 3.147 4.693
S 9.693 3.147 4.693

=====

Record 3
! SrAg2AsS4 (PBE, relaxed); values from VASP
! Mass density, g cm⁻³: 4.45
&SYSTEM
  ibrav = 0, nat = 8, ntyp = 4
/
ATOMIC_SPECIES
Sr 87.62 Sr.upf
Ag 107.87 Ag.upf
As 74.92 As.upf
S 32.06 S.upf
CELL_PARAMETERS angstrom
6.795 0.000 0.000
3.398 5.256 -0.529
3.398 0.057 5.283
ATOMIC_POSITIONS angstrom
Sr 0.000 0.000 0.000
Ag 6.795 3.684 1.229
Ag 6.795 1.629 3.525
As 3.398 2.657 2.377
S 8.867 2.761 4.327
S 4.724 0.707 2.490
S 8.867 2.553 0.427
S 4.723 4.606 2.264

=====

Record 4
! Ta2Ag2AsS6 (PBE, relaxed); values from VASP
! Mass density, g cm⁻³: 5.70
&SYSTEM
  ibrav = 0, nat = 11, ntyp = 4
/
ATOMIC_SPECIES
Ta 180.95 Ta.upf
Ag 107.87 Ag.upf
As 74.92 As.upf
S 32.06 S.upf
CELL_PARAMETERS angstrom
-1.664 5.653 -1.796
-0.975 -1.369 5.927
6.153 3.170 2.334
ATOMIC_POSITIONS angstrom
Ta 1.850 2.775 4.279
Ta 1.664 4.679 2.185
Ag -1.568 4.681 -0.727
Ag -1.070 -0.398 4.858
As 3.077 1.585 1.167
S 2.631 5.067 4.373
S 2.258 7.247 1.758
S 0.883 2.387 2.091
S 2.708 2.657 6.805
S 1.256 0.207 4.707
S 0.806 4.797 -0.341

=====

Record 5
! Tb3Ag4AsS8 (PBE, relaxed); values from VASP
! Mass density, g cm⁻³: 6.07
&SYSTEM
  ibrav = 0, nat = 16, ntyp = 4
/
ATOMIC_SPECIES
Tb 158.93 Tb.upf
Ag 107.87 Ag.upf
As 74.92 As.upf
S 32.06 S.upf
CELL_PARAMETERS angstrom
-6.173 4.305 -2.615
-0.157 -4.183 -6.516
-0.304 -3.458 7.161
ATOMIC_POSITIONS angstrom
Tb -3.165 0.061 -4.565
Tb -3.317 -1.668 -0.985
Tb -0.231 -3.821 0.323
Ag -3.086 2.153 -1.308
Ag -3.239 0.423 2.273
Ag 0.000 0.000 0.000
Ag -0.152 -1.729 3.580
As -0.079 -2.092 -3.258
S -1.597 -2.052 -5.425
S -1.750 -3.716 -1.988
S -1.752 -1.749 1.256
S -4.811 0.190 -6.787
S -1.823 -3.527 4.817
S -4.882 -1.587 -3.226
S -4.885 0.380 0.018
S -5.037 -1.285 3.455

=====

Record 6
! AgTeAsS (PBE, relaxed); values from VASP
! Mass density, g cm⁻³: 4.84
&SYSTEM
  ibrav = 0, nat = 4, ntyp = 4
/
ATOMIC_SPECIES
Ag 107.87 Ag.upf
Te 127.60 Te.upf
As 74.92 As.upf
S 32.06 S.upf
CELL_PARAMETERS angstrom
4.489 0.212 0.016
-2.056 3.996 -0.016
-2.231 -1.518 6.385
ATOMIC_POSITIONS angstrom
Ag -1.551 3.704 1.209
Te 0.741 2.379 0.472
As -1.521 0.880 4.250
S 0.359 -0.208 3.822

=====

Record 7
! TlAg2AsS4 (PBE, relaxed); values from VASP
! Mass density, g cm⁻³: 5.22
&SYSTEM
  ibrav = 0, nat = 8, ntyp = 4
/
ATOMIC_SPECIES
Tl 204.38 Tl.upf
Ag 107.87 Ag.upf
As 74.92 As.upf
S 32.06 S.upf
CELL_PARAMETERS angstrom
-6.193 -2.368 0.896
-1.939 -5.444 -2.807
-1.600 -3.262 5.299
ATOMIC_POSITIONS angstrom
Tl 0.000 0.000 0.000
Ag -4.931 -5.958 0.130
Ag -4.800 -5.116 3.258
As -1.769 -4.353 1.246
S -6.248 -7.120 3.484
S -3.381 -3.299 2.335
S -7.334 -5.426 0.462
S -2.499 -6.303 0.496

=====

Record 8
! Tm3Ag4AsS8 (PBE, relaxed); values from VASP
! Mass density, g cm⁻³: 6.36
&SYSTEM
  ibrav = 0, nat = 16, ntyp = 4
/
ATOMIC_SPECIES
Tm 168.93 Tm.upf
Ag 107.87 Ag.upf
As 74.92 As.upf
S 32.06 S.upf
CELL_PARAMETERS angstrom
-0.649 3.693 6.885
-7.645 -1.149 -0.104
4.975 -6.003 -0.774
ATOMIC_POSITIONS angstrom
Tm -4.147 1.272 3.390
Tm -1.659 -1.730 3.003
Tm -1.335 -3.576 -0.439
Ag -0.324 1.846 3.442
Ag 2.163 -1.155 3.055
Ag 0.000 0.000 0.000
Ag 2.487 -3.002 -0.387
As -3.822 -0.575 -0.052
S -0.811 -5.931 0.810
S -3.368 -2.849 1.211
S 0.334 -2.420 1.330
S -1.145 -4.032 4.349
S -2.174 0.572 1.657
S -3.653 -1.040 4.677
S 0.049 -0.611 4.796
S -2.507 2.471 5.196

=====

Total energy (eV/atom)
-3.99 -4.20 -4.09 -5.80 -4.89 -3.66 -3.80 -4.86